1.
Computed, not measured: CePrRh2 after structural relaxation at the PBE level of DFT.

Cell: 4.9881 4.9881 4.9881 Å, 60.00 60.00 60.00°
Last column: magnetic moment on the atom in μB.
Fractional coordinates of all 4 atoms:
Pr (0.5000, 0.5000, 0.5000)  0.02
Rh (0.2500, 0.2500, 0.2500)  -0.07
Rh (0.7500, 0.7500, 0.7500)  -0.07
Ce (0.0000, 0.0000, 0.0000)  0.47

Results
As for the calculated formation energy: -14.43 kcal/mol of atoms. The value obtained for the total magnetization is 0.103 μB per atom.



2.
Computed, not measured: Ce2PrRh after structural relaxation at the PBE level of DFT.

Cell: 3.6536 3.6536 7.9924 Å, 90.00 90.00 90.00°
Last column: magnetic moment on the atom in μB.
Fractional coordinates of all 4 atoms:
Rh (0.5000, 0.5000, 0.0000)  -0.04
Ce (0.0000, 0.0000, 0.8128)  0.37
Ce (0.0000, 0.0000, 0.1872)  0.37
Pr (0.5000, 0.5000, 0.5000)  0.04

Results
As for the calculated formation energy: -6.41 kcal/mol of atoms. The value obtained for the total magnetization is 0.244 μB per atom. Its energy above the most stable polymorph in this dataset is 0.365 eV/f.u.



- What is the calculated formation energy in the second record?
  -6.41 kcal/mol of atoms



Copy entry 2 word for word.
Computed, not measured: Ce2PrRh after structural relaxation at the PBE level of DFT.

Cell: 3.6536 3.6536 7.9924 Å, 90.00 90.00 90.00°
Last column: magnetic moment on the atom in μB.
Fractional coordinates of all 4 atoms:
Rh (0.5000, 0.5000, 0.0000)  -0.04
Ce (0.0000, 0.0000, 0.8128)  0.37
Ce (0.0000, 0.0000, 0.1872)  0.37
Pr (0.5000, 0.5000, 0.5000)  0.04

Results
As for the calculated formation energy: -6.41 kcal/mol of atoms. The value obtained for the total magnetization is 0.244 μB per atom. Its energy above the most stable polymorph in this dataset is 0.365 eV/f.u.